Entry 1:
## BaOs2RhAu (PBE)

Data for crystalline BaOs2RhAu at its relaxed geometry.

```
BaOs2RhAu
1.0
4.875 0.000 0.000
0.000 4.875 0.000
0.000 0.000 5.780
Ba Os Rh Au
1 2 1 1
Direct
0.000 0.000 0.000
0.000 0.500 0.500
0.500 0.000 0.500
0.500 0.500 0.000
0.000 0.000 0.500
```

Output
calculated formation energy: 2231 meV per atom
magnetic moment: 0.47 μB per cell
crystal system: tetragonal


Entry 2:
## Fe2CuNiH (PBE)

Data for crystalline Fe2CuNiH at its relaxed geometry.

```
Fe2CuNiH
1.0
3.659 0.000 0.000
0.000 3.659 0.000
0.000 0.000 3.631
Fe Cu Ni H
2 1 1 1
Direct
0.000 0.500 0.000
0.500 0.000 0.000
0.000 0.000 0.500
0.500 0.500 0.500
0.500 0.500 0.000
```

Output
magnetic moment: 5.70 μB per cell
excess energy over the best structure of this formula in the dataset: 0 meV/atom
crystal system: tetragonal


Entry 3:
## VZn3Si (PBE)

Data for crystalline VZn3Si at its relaxed geometry.

```
VZn3Si
1.0
4.829 0.000 0.000
0.000 4.829 0.000
0.000 0.000 4.829
V Zn Si
1 3 1
Direct
0.000 0.000 0.000
0.000 0.000 0.500
0.000 0.500 0.000
0.500 0.000 0.000
0.500 0.500 0.500
```

Output
magnetic moment: 2.63 μB per cell
excess energy over the best structure of this formula in the dataset: 282 meV/atom
crystal system: cubic
formation energy without anion corrections: 109 kJ/mol of atoms


Entry 4:
## MgSnSb (PBE)

Data for crystalline MgSnSb at its relaxed geometry.

```
MgSnSb
1.0
3.291 0.000 0.000
0.000 4.996 0.000
0.000 0.000 9.524
Mg Sn Sb
2 2 2
Direct
0.250 0.250 0.111
0.750 0.750 0.889
0.250 0.750 0.583
0.750 0.250 0.417
0.250 0.250 0.801
0.750 0.750 0.199
```

Output
magnetic moment: 0.00 μB per cell
crystal system: orthorhombic
formation energy without anion corrections: -11 kJ/mol of atoms


Entry 5:
## TaBeCr2 (PBE)

Data for crystalline TaBeCr2 at its relaxed geometry.

```
TaBeCr2
1.0
0.000 2.940 2.940
2.940 0.000 2.940
2.940 2.940 0.000
Ta Be Cr
1 1 2
Direct
0.000 0.000 0.000
0.750 0.750 0.750
0.250 0.250 0.250
0.500 0.500 0.500
```

Output
calculated formation energy: 198 meV per atom
magnetic moment: 0.58 μB per cell
crystal system: cubic


Entry 6:
## PrTmIr2 (PBE)

Data for crystalline PrTmIr2 at its relaxed geometry.

```
PrTmIr2
1.0
3.386 0.000 0.000
0.000 3.386 0.000
0.000 0.000 7.312
Pr Tm Ir
1 1 2
Direct
0.000 0.000 0.000
0.000 0.000 0.500
0.500 0.500 0.270
0.500 0.500 0.730
```

Output
calculated formation energy: -676 meV per atom
magnetic moment: 0.00 μB per cell
excess energy over the best structure of this formula in the dataset: 0 meV/atom
crystal system: tetragonal


Entry 7:
## Zn2BrO (PBE)

Data for crystalline Zn2BrO at its relaxed geometry.

```
Zn2BrO
1.0
0.000 3.144 3.144
3.144 0.000 3.144
3.144 3.144 0.000
Zn Br O
2 1 1
Direct
0.250 0.250 0.250
0.750 0.750 0.750
0.000 0.000 0.000
0.500 0.500 0.500
```

Output
magnetic moment: 0.00 μB per cell
excess energy over the best structure of this formula in the dataset: 841 meV/atom
crystal system: cubic
formation energy without anion corrections: 12 kJ/mol of atoms


Entry 8:
## NpAg3Pb2S6 (PBE)

Data for crystalline NpAg3Pb2S6 at its relaxed geometry.

```
NpAg3Pb2S6
1.0
3.545 -6.485 0.000
3.545 6.485 0.000
-1.861 0.000 6.101
Np Ag Pb S
1 3 2 6
Direct
0.000 0.000 0.000
0.123 0.877 0.500
0.500 0.500 0.500
0.877 0.123 0.500
0.322 0.678 0.000
0.678 0.322 0.000
0.071 0.365 0.253
0.262 0.262 0.780
0.365 0.071 0.253
0.635 0.929 0.747
0.738 0.738 0.220
0.929 0.635 0.747
```

Output
magnetic moment: 2.00 μB per cell
crystal system: monoclinic
formation energy without anion corrections: -48 kJ/mol of atoms


Entry 9:
## Ca8Sn2Ir (PBE)

Data for crystalline Ca8Sn2Ir at its relaxed geometry.

```
Ca8Sn2Ir
1.0
9.375 -2.668 0.000
9.375 2.668 0.000
-2.320 0.000 6.768
Ca Sn Ir
8 2 1
Direct
0.020 0.020 0.296
0.205 0.205 0.778
0.355 0.355 0.560
0.405 0.405 0.086
0.595 0.595 0.914
0.645 0.645 0.440
0.795 0.795 0.222
0.980 0.980 0.704
0.184 0.184 0.207
0.816 0.816 0.793
0.500 0.500 0.500
```

Output
calculated formation energy: -430 meV per atom
magnetic moment: 0.00 μB per cell
crystal system: monoclinic


Entry 10:
## Cs2Tl4Br3F2 (PBE)

Data for crystalline Cs2Tl4Br3F2 at its relaxed geometry.

```
Cs2Tl4Br3F2
1.0
-2.616 2.616 15.145
2.616 -2.616 15.145
2.616 2.616 -15.145
Cs Tl Br F
2 4 3 2
Direct
0.194 0.194 0.000
0.806 0.806 0.000
0.075 0.575 0.500
0.425 0.925 0.500
0.575 0.075 0.500
0.925 0.425 0.500
0.319 0.319 0.000
0.500 0.500 0.000
0.681 0.681 0.000
0.099 0.099 0.000
0.901 0.901 0.000
```

Output
magnetic moment: 0.00 μB per cell
crystal system: tetragonal
formation energy without anion corrections: -128 kJ/mol of atoms


Entry 11:
## RbAgPd4 (PBE)

Data for crystalline RbAgPd4 at its relaxed geometry.

```
RbAgPd4
1.0
0.000 3.890 3.890
3.890 0.000 3.890
3.890 3.890 0.000
Rb Ag Pd
1 1 4
Direct
0.000 0.000 0.000
0.750 0.750 0.750
0.376 0.376 0.376
0.376 0.376 0.873
0.376 0.873 0.376
0.873 0.376 0.376
```

Output
calculated formation energy: 192 meV per atom
magnetic moment: 0.00 μB per cell
crystal system: cubic


Entry 12:
## Cs2NiBi2 (PBE)

Data for crystalline Cs2NiBi2 at its relaxed geometry.

```
Cs2NiBi2
1.0
7.294 0.000 0.000
0.000 7.294 0.000
0.000 0.000 6.622
Cs Ni Bi
4 2 4
Direct
0.173 0.327 0.000
0.327 0.827 0.000
0.673 0.173 0.000
0.827 0.673 0.000
0.000 0.000 0.500
0.500 0.500 0.500
0.155 0.655 0.500
0.345 0.155 0.500
0.655 0.845 0.500
0.845 0.345 0.500
```

Output
calculated formation energy: -10 meV per atom
magnetic moment: 0.00 μB per cell
crystal system: tetragonal


Q: Which value of magnetic moment does entry 5 give?
A: 0.58 μB per cell


Q: Among the records above, which one has the highest magnetic moment?
A: Fe2CuNiH